An optimized crystal structure of LaZn2Mo, computed with PBE-GGA.

## Properties
N(E_F) ... 1.36 states/eV per atom
Formation energy ... 0.48 eV/atom
Space group ... No. 216
Energy above the lowest structure with this stoichiometry ... 381 meV/atom

a b c (Å): 4.820 4.820 4.820
angles (deg): 60.00 60.00 60.00
Element x y z (fractional)
La 0.500 0.500 0.500
Zn 0.250 0.250 0.250
Zn 0.000 0.000 0.000
Mo 0.750 0.750 0.750